A:
## B5C7 (GGA-PBE)

Data for B5C7 after structural relaxation.

magnetization = 0.0 μB per cell
crystal system = monoclinic
density = 2.961 g/cm³

The structure in POSCAR format:
```
B5C7
1.0
4.340 -1.237 0.000
4.340 1.237 0.000
-3.984 0.000 7.214
B C
5 7
Direct
0.000 0.000 0.000
0.344 0.344 0.644
0.502 0.502 0.350
0.536 0.536 0.865
0.798 0.798 0.023
0.009 0.009 0.496
0.165 0.165 0.208
0.178 0.178 0.686
0.319 0.319 0.163
0.675 0.675 0.322
0.679 0.679 0.792
0.842 0.842 0.508
```

***

B:
## B5C7 (GGA-PBE)

Data for B5C7 after structural relaxation.

magnetization = 0.0 μB per cell
crystal system = monoclinic
density = 2.867 g/cm³

The structure in POSCAR format:
```
B5C7
1.0
4.479 0.000 0.000
0.000 2.619 0.000
-0.054 0.000 6.820
B C
5 7
Direct
0.000 0.000 0.000
0.042 0.000 0.245
0.230 0.500 0.375
0.471 0.000 0.909
0.646 0.500 0.247
0.242 0.500 0.603
0.406 0.000 0.680
0.587 0.500 0.013
0.711 0.000 0.365
0.735 0.000 0.588
0.900 0.500 0.667
0.908 0.500 0.889
```

***

Pick the least stable structure from those above. Pick: B